The following is a DFT calculation (meta-GGA SCAN) of a PBEsol-optimized structure of RbTe2O6.

a = 7.366 Å, b = 7.366 Å, c = 7.366 Å
α = 60.00°, β = 60.00°, γ = 60.00°
Element x y z (fractional)
O: 0.805 0.805 0.195
O: 0.445 0.055 0.445
O: 0.445 0.445 0.055
O: 0.055 0.055 0.445
O: 0.055 0.445 0.055
O: 0.805 0.195 0.805
O: 0.805 0.195 0.195
O: 0.055 0.445 0.445
O: 0.195 0.805 0.805
O: 0.195 0.195 0.805
O: 0.195 0.805 0.195
O: 0.445 0.055 0.055
Te: 0.125 0.625 0.125
Te: 0.625 0.125 0.125
Te: 0.125 0.125 0.625
Te: 0.125 0.125 0.125
Rb: 0.500 0.500 0.500
Rb: 0.750 0.750 0.750

Computed properties:
calculated volume	15.7	A^3/atom
E_form (uncorrected)	-1119	kJ/mol of formula units
space group	No. 227